(1)
{
  "formula": "Li4Sm",
  "functional": "PBE-GGA",
  "state": "optimized geometry",
  "lattice": [[-1.094, 5.575, 1.026], [-5.668, -1.064, -0.262], [-0.064, -1.057, 5.675]],
  "species": ["Sm", "Li", "Li", "Li", "Li"],
  "frac_coords": [[0.500, 0.500, 0.500], [0.000, 0.000, 0.000], [0.500, 0.000, 0.500], [0.000, 0.500, 0.500], [0.500, 0.500, 0.000]],
  "dft_energy_ev_per_atom": -1.5270,
  "density_g_cm3": 1.54,
  "delta_e_f_ev_per_atom": 0.948,
  "dos_at_fermi_per_ev_cell": 6.3,
  "space_group": "Pm-3m (221)"
}


(2)
{
  "formula": "Mn2AlPd8",
  "functional": "PBE-GGA",
  "state": "optimized geometry",
  "lattice": [[4.057, 0.000, -1.235], [-1.055, 6.106, -3.468], [-0.086, -0.169, 7.000]],
  "species": ["Mn", "Mn", "Al", "Pd", "Pd", "Pd", "Pd", "Pd", "Pd", "Pd", "Pd"],
  "frac_coords": [[0.202, 0.702, 0.404], [0.798, 0.298, 0.596], [0.500, 0.000, 0.000], [0.653, 0.869, 0.306], [0.347, 0.563, 0.694], [0.139, 0.139, 0.278], [0.000, 0.313, 0.000], [0.861, 0.861, 0.722], [0.653, 0.437, 0.306], [0.347, 0.131, 0.694], [0.000, 0.687, 0.000]],
  "de_polymorph_mev_per_atom": 59,
  "dft_energy_ev_per_atom": -6.0748,
  "density_g_cm3": 9.64,
  "delta_e_f_ev_per_atom": -0.291,
  "dos_at_fermi_per_ev_cell": 6.4,
  "space_group": "Immm (71)"
}